! Ca6ZnAu5, optimized geometry, DFT PBE-GGA; values from VASP
&SYSTEM
  ibrav = 0, nat = 12, ntyp = 3
/
ATOMIC_SPECIES
Ca 40.08 Ca.upf
Zn 65.41 Zn.upf
Au 196.97 Au.upf
ATOMIC_POSITIONS crystal
Ca 0.079 0.584 0.331
Ca 0.245 0.755 0.000
Ca 0.416 0.921 0.669
Ca 0.584 0.079 0.331
Ca 0.755 0.245 0.000
Ca 0.921 0.416 0.669
Zn 0.500 0.500 0.500
Au 0.000 0.000 0.500
Au 0.168 0.168 0.168
Au 0.340 0.340 0.839
Au 0.660 0.660 0.161
Au 0.832 0.832 0.832
CELL_PARAMETERS angstrom
8.116 -3.664 0.000
8.116 3.664 0.000
-1.580 0.000 4.889
! - Calculated formation energy: -0.695 eV per atom

! Ca2Zn3Au, optimized geometry, DFT PBE-GGA; values from VASP
&SYSTEM
  ibrav = 0, nat = 12, ntyp = 3
/
ATOMIC_SPECIES
Ca 40.08 Ca.upf
Zn 65.41 Zn.upf
Au 196.97 Au.upf
ATOMIC_POSITIONS crystal
Ca 0.245 0.755 0.755
Ca 0.250 0.250 0.250
Ca 0.750 0.750 0.750
Ca 0.755 0.245 0.245
Zn 0.171 0.664 0.336
Zn 0.336 0.336 0.664
Zn 0.336 0.829 0.171
Zn 0.664 0.171 0.829
Zn 0.664 0.664 0.336
Zn 0.829 0.336 0.664
Au 0.167 0.167 0.833
Au 0.833 0.833 0.167
CELL_PARAMETERS angstrom
0.000 4.526 7.821
3.772 0.000 7.821
3.772 4.526 0.000
! - Calculated formation energy: -0.438 eV per atom